A relaxed Mg10Cd3Ga3 crystal. Source: the Alexandria database, functional GGA-PBE.

Cell lengths 5.8567, 8.2459, 8.2459 Å; angles 120.00, 90.00, 90.00 degrees
Closest atoms and distances in Å follow each position.
Atoms (fractional coordinates):
Mg (0.5000, 0.7702, 0.0000)  3 Cd 2.89-3.02, 2 Ga 3.24
Mg (0.5000, 0.0000, 0.7702)  3 Cd 2.89-3.02, 2 Ga 3.24
Mg (0.0000, 0.0000, 0.2404)  3 Ga 2.85-2.99
Mg (0.0000, 0.7596, 0.7596)  3 Ga 2.85-2.99
Mg (0.0000, 0.2404, 0.0000)  3 Ga 2.85-2.99
Mg (0.5000, 0.2298, 0.2298)  3 Cd 2.89-3.02, 2 Ga 3.24
Mg (0.2419, 0.3333, 0.6667)  2 Mg 2.83-3.02, 3 Ga 2.90, 3 Cd 2.93
Mg (0.7581, 0.3333, 0.6667)  2 Mg 2.83-3.02, 3 Ga 2.90, 3 Cd 2.93
Mg (0.7581, 0.6667, 0.3333)  2 Mg 2.83-3.02, 3 Ga 2.90, 3 Cd 2.93
Mg (0.2419, 0.6667, 0.3333)  2 Mg 2.83-3.02, 3 Ga 2.90, 3 Cd 2.93
Cd (0.5000, 0.0000, 0.4036)  9 Mg 2.89-3.22
Cd (0.5000, 0.5964, 0.5964)  9 Mg 2.89-3.22
Cd (0.5000, 0.4036, 0.0000)  9 Mg 2.89-3.22
Ga (0.0000, 0.6035, 0.0000)  7 Mg 2.85-2.99
Ga (0.0000, 0.0000, 0.6035)  7 Mg 2.85-2.99
Ga (0.0000, 0.3965, 0.3965)  7 Mg 2.85-2.99

Output
As for the energy of formation from the pure elements: -0.092 eV per atom. The symmetry is P-62m.



A relaxed Mg2Cd8Ga crystal. Source: the Alexandria database, functional GGA-PBE.

Cell lengths 5.9587, 6.9319, 7.6716 Å; angles 63.14, 79.38, 65.93 degrees
Closest atoms and distances in Å follow each position.
Atoms (fractional coordinates):
Cd (0.2152, 0.9077, 0.7773)  6 Cd 2.93-3.21, 2 Mg 2.99-3.07, 1 Ga 3.03
Cd (0.7336, 0.5806, 0.0000)  1 Ga 2.66, 3 Cd 2.90-2.93
Cd (0.5000, 0.7782, 0.4436)  4 Cd 3.02-3.08, 1 Ga 3.04, 2 Mg 3.17
Cd (0.7848, 0.0923, 0.2227)  6 Cd 2.93-3.21, 2 Mg 2.99-3.07, 1 Ga 3.03
Cd (0.2664, 0.4194, 0.0000)  1 Ga 2.66, 3 Cd 2.90-2.93
Cd (0.5000, 0.2218, 0.5564)  4 Cd 3.02-3.08, 1 Ga 3.04, 2 Mg 3.17
Cd (0.2152, 0.6849, 0.2227)  6 Cd 2.93-3.21, 2 Mg 2.99-3.07, 1 Ga 3.03
Cd (0.7848, 0.3151, 0.7773)  6 Cd 2.93-3.21, 2 Mg 2.99-3.07, 1 Ga 3.03
Mg (0.0000, 0.3014, 0.3972)  8 Cd 2.99-3.17
Mg (0.0000, 0.6986, 0.6028)  8 Cd 2.99-3.17
Ga (0.5000, 0.0000, 0.0000)  2 Cd 2.66

Output
As for the energy of formation from the pure elements: 0.034 eV per atom. The symmetry is C2/m.



A relaxed MgCd6Ga crystal. Source: the Alexandria database, functional GGA-PBE.

Cell lengths 4.4412, 4.4412, 8.8926 Å; angles 90.00, 90.00, 90.00 degrees
Closest atoms and distances in Å follow each position.
Atoms (fractional coordinates):
Cd (0.0000, 0.5000, 0.2497)  8 Cd 3.14, 2 Mg 3.14, 2 Ga 3.14
Cd (0.5000, 0.5000, 0.0000)  8 Cd 3.14, 4 Mg 3.14
Cd (0.5000, 0.0000, 0.7503)  2 Mg 3.14, 8 Cd 3.14, 2 Ga 3.14
Cd (0.5000, 0.5000, 0.5000)  4 Ga 3.14, 8 Cd 3.14
Cd (0.5000, 0.0000, 0.2497)  8 Cd 3.14, 2 Mg 3.14, 2 Ga 3.14
Cd (0.0000, 0.5000, 0.7503)  8 Cd 3.14, 2 Mg 3.14, 2 Ga 3.14
Mg (0.0000, 0.0000, 0.0000)  12 Cd 3.14
Ga (0.0000, 0.0000, 0.5000)  12 Cd 3.14

Output
As for the energy of formation from the pure elements: -0.009 eV per atom. The symmetry is P4/mmm.



A relaxed Mg8Cd5Ga crystal. Source: the Alexandria database, functional GGA-PBE.

Cell lengths 7.4425, 7.4425, 7.4424 Å; angles 109.97, 109.97, 108.48 degrees
Closest atoms and distances in Å follow each position.
Atoms (fractional coordinates):
Cd (0.8784, 0.1975, 0.8967)  8 Mg 2.92-3.18, 2 Cd 3.26
Cd (0.3007, 0.9817, 0.1033)  8 Mg 2.92-3.18, 2 Cd 3.26
Cd (0.0183, 0.1216, 0.3191)  8 Mg 2.92-3.18, 2 Cd 3.26
Cd (0.5000, 0.5000, 0.0000)  8 Mg 2.87-2.96
Cd (0.8025, 0.6993, 0.6809)  8 Mg 2.92-3.18, 2 Cd 3.26
Mg (0.5622, 0.8501, 0.9034)  1 Ga 2.75, 5 Cd 2.87-3.06
Mg (0.5152, 0.2500, 0.6043)  5 Cd 2.96-3.18, 3 Mg 3.10-3.24, 1 Ga 3.27
Mg (0.9466, 0.6587, 0.0966)  1 Ga 2.75, 5 Cd 2.87-3.06
Mg (0.6457, 0.9109, 0.3957)  5 Cd 2.96-3.18, 3 Mg 3.10-3.24, 1 Ga 3.27
Mg (0.1499, 0.0534, 0.7121)  1 Ga 2.75, 5 Cd 2.87-3.06
Mg (0.3413, 0.4378, 0.2879)  1 Ga 2.75, 5 Cd 2.87-3.06
Mg (0.7500, 0.3543, 0.2652)  5 Cd 2.96-3.18, 3 Mg 3.10-3.24, 1 Ga 3.27
Mg (0.0891, 0.4848, 0.7348)  5 Cd 2.96-3.18, 3 Mg 3.10-3.24, 1 Ga 3.27
Ga (0.2500, 0.7500, 0.5000)  4 Mg 2.75

Output
As for the energy of formation from the pure elements: -0.034 eV per atom. The symmetry is I-4.



A relaxed Mg3Cd3Ga2 crystal. Source: the Alexandria database, functional GGA-PBE.

Cell lengths 5.5492, 5.5492, 5.5492 Å; angles 94.60, 94.60, 85.40 degrees
Closest atoms and distances in Å follow each position.
Atoms (fractional coordinates):
Mg (0.2561, 0.7439, 0.0000)  2 Cd 2.77, 2 Ga 3.01
Mg (0.7439, 0.0000, 0.7439)  2 Cd 2.77, 2 Ga 3.01
Mg (0.0000, 0.2561, 0.2561)  2 Cd 2.77, 2 Ga 3.01
Cd (0.7495, 0.5000, 0.7495)  2 Mg 2.77, 2 Ga 2.97
Cd (0.2505, 0.7495, 0.5000)  2 Mg 2.77, 2 Ga 2.97
Cd (0.5000, 0.2505, 0.2505)  2 Mg 2.77, 2 Ga 2.97
Ga (0.2368, 0.2368, 0.7632)  6 Cd 2.97-3.31, 6 Mg 3.01-3.12
Ga (0.7632, 0.7632, 0.2368)  6 Cd 2.97-3.31, 6 Mg 3.01-3.12

Output
As for the energy of formation from the pure elements: -0.033 eV per atom. The symmetry is R32.



A relaxed Mg3Cd3Ga8 crystal. Source: the Alexandria database, functional GGA-PBE.

Cell lengths 4.8985, 8.1473, 8.1473 Å; angles 97.46, 72.51, 72.51 degrees
Closest atoms and distances in Å follow each position.
Atoms (fractional coordinates):
Mg (0.0000, 0.2220, 0.7780)  6 Ga 2.99-3.12, 2 Cd 3.15
Mg (0.0000, 0.5000, 0.5000)  12 Ga 3.07-3.37, 2 Mg 3.40
Mg (0.0000, 0.7780, 0.2220)  6 Ga 2.99-3.12, 2 Cd 3.15
Ga (0.7377, 0.6177, 0.9070)  3 Ga 2.62-2.76, 1 Cd 2.88
Ga (0.6314, 0.5266, 0.2105)  4 Ga 2.51-2.76, 1 Cd 2.74
Ga (0.2623, 0.3823, 0.0930)  3 Ga 2.62-2.76, 1 Cd 2.88
Ga (0.7377, 0.9070, 0.6177)  3 Ga 2.62-2.76, 1 Cd 2.88
Ga (0.2623, 0.0930, 0.3823)  3 Ga 2.62-2.76, 1 Cd 2.88
Ga (0.3686, 0.4734, 0.7895)  4 Ga 2.51-2.76, 1 Cd 2.74
Ga (0.6314, 0.2105, 0.5266)  4 Ga 2.51-2.76, 1 Cd 2.74
Ga (0.3686, 0.7895, 0.4734)  4 Ga 2.51-2.76, 1 Cd 2.74
Cd (0.5000, 0.0000, 0.0000)  4 Ga 2.88, 4 Cd 2.92
Cd (0.8346, 0.1654, 0.1654)  2 Ga 2.74, 2 Cd 2.92
Cd (0.1654, 0.8346, 0.8346)  2 Ga 2.74, 2 Cd 2.92

Output
As for the energy of formation from the pure elements: -0.012 eV per atom. The symmetry is Immm.